Record 1
Below is a PBEsol-optimized structure of Sr3VN3, with properties calculated at the meta-GGA SCAN level.

Cell lengths 7.6541, 7.6541, 5.3212 Å; angles 90.00, 90.00, 120.00 degrees
Space group P6_3/m (No. 176)
Unique sites:
1 Sr 0.0959 0.3688 0.2500
2 V 0.3333 0.6667 0.7500
3 N 0.1225 0.4136 0.7500

formation energy from raw total energies = -107.75 kJ per mole of atoms
magnetization = 0.0 μB per cell



Record 2
Below is a PBEsol-optimized structure of SrWN3, with properties calculated at the meta-GGA SCAN level.

Cell lengths 3.659, 6.283, 6.582 Å; angles 109.54, 96.49, 90.90 degrees
Space group P1 (No. 1)
Unique sites:
1 Sr 0.000 0.000 0.000
2 Sr 0.064 0.532 0.468
3 W 0.474 0.507 0.981
4 W 0.553 0.030 0.476
5 N 0.066 0.101 0.423
6 N 0.515 0.330 0.146
7 N 0.523 0.807 0.167
8 N 0.569 0.856 0.643
9 N 0.650 0.369 0.682
10 N 0.950 0.482 0.845

formation energy from raw total energies = -78.83 kJ per mole of atoms
magnetization = 0.0 μB per cell



Record 3
Below is a PBEsol-optimized structure of SrWN3, with properties calculated at the meta-GGA SCAN level.

Cell lengths 14.186, 3.745, 6.089 Å; angles 90.00, 106.20, 90.00 degrees
Space group C2/m (No. 12)
Unique sites:
1 Sr 0.095 0.000 0.300
2 W 0.158 0.500 0.877
3 N 0.035 0.500 0.947
4 N 0.134 0.500 0.573
5 N 0.191 0.000 0.001

formation energy from raw total energies = -74.50 kJ per mole of atoms
magnetization = 0.0 μB per cell



Record 4
Below is a PBEsol-optimized structure of Sr3ZnN, with properties calculated at the meta-GGA SCAN level.

Cell lengths 5.187, 5.187, 5.187 Å; angles 90.00, 90.00, 90.00 degrees
Space group Pm-3m (No. 221)
Unique sites:
1 Sr 0.000 0.000 0.500
2 Zn 0.500 0.500 0.500
3 N 0.000 0.000 0.000

formation energy from raw total energies = -40.32 kJ per mole of atoms
magnetization = 0.0 μB per cell



Record 5
Below is a PBEsol-optimized structure of SrZn2N2, with properties calculated at the meta-GGA SCAN level.

Cell lengths 6.299, 10.221, 6.236 Å; angles 90.00, 90.08, 90.00 degrees
Space group C2/m (No. 12)
Unique sites:
1 Sr 0.000 0.000 0.000
2 Sr 0.000 0.176 0.500
3 Zn 0.132 0.500 0.648
4 Zn 0.142 0.338 0.138
5 N 0.195 0.333 0.804
6 N 0.237 0.500 0.323

formation energy from raw total energies = -38.70 kJ per mole of atoms
magnetization = 0.0 μB per cell



Record 6
Below is a PBEsol-optimized structure of SrZn2N2, with properties calculated at the meta-GGA SCAN level.

Cell lengths 3.5131, 3.5131, 6.1980 Å; angles 90.00, 90.00, 120.00 degrees
Space group P-3m1 (No. 164)
Unique sites:
1 Sr 0.0000 0.0000 0.0000
2 Zn 0.3333 0.6667 0.3704
3 N 0.3333 0.6667 0.7246

formation energy from raw total energies = -41.86 kJ per mole of atoms
magnetization = 0.0 μB per cell



Record 7
Below is a PBEsol-optimized structure of SrZrN2, with properties calculated at the meta-GGA SCAN level.

Cell lengths 5.793, 5.793, 8.317 Å; angles 90.00, 90.00, 90.00 degrees
Space group I-42d (No. 122)
Unique sites:
1 Sr 0.000 0.000 0.000
2 Zr 0.000 0.000 0.500
3 N 0.182 0.750 0.625

formation energy from raw total energies = -146.93 kJ per mole of atoms
magnetization = 0.0 μB per cell



Record 8
Below is a PBEsol-optimized structure of SrZrN2, with properties calculated at the meta-GGA SCAN level.

Cell lengths 3.3509, 3.3509, 17.6304 Å; angles 90.00, 90.00, 120.00 degrees
Space group R-3m (No. 166, hexagonal axes)
Unique sites:
1 Sr 0.0000 0.0000 0.0000
2 Zr 0.0000 0.0000 0.5000
3 N 0.0000 0.0000 0.2336

formation energy from raw total energies = -154.19 kJ per mole of atoms
magnetization = 0.0 μB per cell



Record 9
Below is a PBEsol-optimized structure of Ta4N5, with properties calculated at the meta-GGA SCAN level.

Cell lengths 6.828, 6.828, 4.258 Å; angles 90.00, 90.00, 90.00 degrees
Space group I4/m (No. 87)
Unique sites:
1 Ta 0.105 0.284 0.000
2 N 0.000 0.000 0.000
3 N 0.091 0.306 0.500

formation energy from raw total energies = -117.82 kJ per mole of atoms
magnetization = 0.0 μB per cell



Record 10
Below is a PBEsol-optimized structure of Ta3N5, with properties calculated at the meta-GGA SCAN level.

Cell lengths 3.883, 10.224, 10.244 Å; angles 90.00, 90.00, 90.00 degrees
Space group Cmcm (No. 63)
Unique sites:
1 Ta 0.000 0.134 0.059
2 Ta 0.000 0.199 0.750
3 N 0.000 0.047 0.620
4 N 0.000 0.236 0.250
5 N 0.000 0.309 0.573

formation energy from raw total energies = -119.47 kJ per mole of atoms
magnetization = 0.0 μB per cell



Record 11
Below is a PBEsol-optimized structure of Ta5N6, with properties calculated at the meta-GGA SCAN level.

Cell lengths 5.1714, 5.1714, 10.3536 Å; angles 90.00, 90.00, 120.00 degrees
Space group P6_3/mcm (No. 193)
Unique sites:
1 Ta 0.0000 0.3248 0.2500
2 Ta 0.3333 0.6667 0.0000
3 N 0.0000 0.3387 0.6220

formation energy from raw total energies = -121.94 kJ per mole of atoms
magnetization = 0.0 μB per cell



Record 12
Below is a PBEsol-optimized structure of Ta2N3, with properties calculated at the meta-GGA SCAN level.

Cell lengths 8.173, 2.975, 8.091 Å; angles 90.00, 90.00, 90.00 degrees
Space group Pnma (No. 62)
Unique sites:
1 Ta 0.021 0.250 0.187
2 Ta 0.195 0.250 0.505
3 N 0.046 0.750 0.375
4 N 0.121 0.250 0.951
5 N 0.221 0.750 0.702

formation energy from raw total energies = -115.23 kJ per mole of atoms
magnetization = 0.0 μB per cell



Record 13
Below is a PBEsol-optimized structure of Ta2N, with properties calculated at the meta-GGA SCAN level.

Cell lengths 5.2642, 5.2642, 4.9198 Å; angles 90.00, 90.00, 120.00 degrees
Space group P-31m (No. 162)
Unique sites:
1 Ta 0.0000 0.3333 0.2528
2 N 0.0000 0.0000 0.5000
3 N 0.3333 0.6667 0.0000

formation energy from raw total energies = -94.96 kJ per mole of atoms
magnetization = 0.0 μB per cell



Record 14
Below is a PBEsol-optimized structure of TaTcN2, with properties calculated at the meta-GGA SCAN level.

Cell lengths 5.395, 5.395, 5.395 Å; angles 90.00, 90.00, 90.00 degrees
Space group Fm-3m (No. 225)
Unique sites:
1 Ta 0.000 0.000 0.000
2 Tc 0.000 0.000 0.500
3 N 0.250 0.250 0.250

formation energy from raw total energies = 11.95 kJ per mole of atoms
magnetization = 7.5 μB per cell



Record 15
Below is a PBEsol-optimized structure of TaTcTeN2, with properties calculated at the meta-GGA SCAN level.

Cell lengths 3.978, 3.978, 5.729 Å; angles 90.00, 90.00, 90.00 degrees
Space group P4/mmm (No. 123)
Unique sites:
1 Ta 0.000 0.000 0.000
2 Tc 0.500 0.500 0.500
3 Te 0.000 0.000 0.500
4 N 0.000 0.500 0.000

formation energy from raw total energies = 58.61 kJ per mole of atoms
magnetization = 3.3 μB per cell



Record 16
Below is a PBEsol-optimized structure of TaTiTeN2, with properties calculated at the meta-GGA SCAN level.

Cell lengths 3.919, 3.919, 5.253 Å; angles 90.00, 90.00, 90.00 degrees
Space group P4/mmm (No. 123)
Unique sites:
1 Ta 0.000 0.000 0.000
2 Ti 0.500 0.500 0.500
3 Te 0.500 0.500 0.000
4 N 0.000 0.500 0.500

formation energy from raw total energies = 68.34 kJ per mole of atoms
magnetization = 0.9 μB per cell



Record 17
Below is a PBEsol-optimized structure of YTaTe2N, with properties calculated at the meta-GGA SCAN level.

Cell lengths 5.705, 5.705, 3.979 Å; angles 90.00, 90.00, 90.00 degrees
Space group P4/mmm (No. 123)
Unique sites:
1 Y 0.000 0.000 0.000
2 Ta 0.500 0.500 0.500
3 Te 0.000 0.500 0.000
4 N 0.000 0.000 0.500

formation energy from raw total energies = 79.93 kJ per mole of atoms
magnetization = 1.7 μB per cell



Record 18
Below is a PBEsol-optimized structure of TaTiWN2, with properties calculated at the meta-GGA SCAN level.

Cell lengths 3.908, 3.908, 5.152 Å; angles 90.00, 90.00, 90.00 degrees
Space group P4/mmm (No. 123)
Unique sites:
1 Ta 0.000 0.000 0.000
2 Ti 0.500 0.500 0.000
3 W 0.000 0.000 0.500
4 N 0.000 0.500 0.500

formation energy from raw total energies = 91.66 kJ per mole of atoms
magnetization = 0.0 μB per cell



Record 19
Below is a PBEsol-optimized structure of Y2TaWN, with properties calculated at the meta-GGA SCAN level.

Cell lengths 5.534, 5.534, 3.784 Å; angles 90.00, 90.00, 90.00 degrees
Space group P4/mmm (No. 123)
Unique sites:
1 Y 0.000 0.500 0.000
2 Ta 0.000 0.000 0.500
3 W 0.500 0.500 0.000
4 N 0.500 0.500 0.500

formation energy from raw total energies = 100.96 kJ per mole of atoms
magnetization = 0.8 μB per cell



Record 20
Below is a PBEsol-optimized structure of YTaN2, with properties calculated at the meta-GGA SCAN level.

Cell lengths 5.642, 5.642, 5.642 Å; angles 90.00, 90.00, 90.00 degrees
Space group Fm-3m (No. 225)
Unique sites:
1 Y 0.000 0.000 0.000
2 Ta 0.000 0.000 0.500
3 N 0.250 0.250 0.250

formation energy from raw total energies = -46.34 kJ per mole of atoms
magnetization = 2.8 μB per cell



Record 21
Below is a PBEsol-optimized structure of Tb3Te3N, with properties calculated at the meta-GGA SCAN level.

Cell lengths 8.056, 11.889, 8.534 Å; angles 90.00, 109.78, 90.00 degrees
Space group P2_1/c (No. 14)
Unique sites:
1 Tb 0.099 0.020 0.357
2 Tb 0.269 0.708 0.162
3 Tb 0.344 0.090 0.795
4 Te 0.010 0.235 0.686
5 Te 0.269 0.522 0.577
6 Te 0.453 0.186 0.511
7 N 0.174 0.534 0.123

formation energy from raw total energies = -163.82 kJ per mole of atoms
magnetization = 0.0 μB per cell